Entry 1:
DFT (PBE) results for a geometry-optimized La3GaO structure.

a b c (Å): 9.352 9.352 6.019
angles (deg): 90.00 90.00 132.84
Sites, in units of the cell vectors:
1 La 0.000 0.000 0.000
2 La 0.000 0.000 0.500
3 La 0.075 0.427 0.750
4 La 0.427 0.075 0.250
5 La 0.573 0.925 0.750
6 La 0.925 0.573 0.250
7 Ga 0.169 0.831 0.750
8 Ga 0.831 0.169 0.250
9 O 0.382 0.618 0.750
10 O 0.618 0.382 0.250

Symmetry: Cmcm (63)
DOS at the Fermi energy: 9.4 states/eV/cell
M_tot: 0.065 μB/atom
DFT total energy: -53.764 eV per cell
ΔE_f (raw): -4.11 eV/f.u.


Entry 2:
DFT (PBE) results for a geometry-optimized Er6Se3S2N structure.

a b c (Å): 6.665 6.665 6.858
angles (deg): 99.34 99.34 119.91
Sites, in units of the cell vectors:
1 Er 0.070 0.377 0.209
2 Er 0.236 0.236 0.787
3 Er 0.377 0.070 0.209
4 Er 0.623 0.930 0.791
5 Er 0.764 0.764 0.213
6 Er 0.930 0.623 0.791
7 Se 0.172 0.828 0.500
8 Se 0.500 0.500 0.500
9 Se 0.828 0.172 0.500
10 S 0.334 0.666 0.000
11 S 0.666 0.334 0.000
12 N 0.000 0.000 0.000

Symmetry: C2/m (12)
DOS at the Fermi energy: 3.9 states/eV/cell
M_tot: 0.000 μB/atom
DFT total energy: -75.852 eV per cell
ΔE_f (raw): -21.44 eV/f.u.


Entry 3:
DFT (PBE) results for a geometry-optimized NdY2Sc structure.

a b c (Å): 3.533 3.533 9.940
angles (deg): 90.00 90.00 90.00
Sites, in units of the cell vectors:
1 Nd 0.000 0.000 0.000
2 Y 0.500 0.500 0.266
3 Y 0.500 0.500 0.734
4 Sc 0.000 0.000 0.500

Symmetry: P4/mmm (123)
DOS at the Fermi energy: 6.8 states/eV/cell
M_tot: 0.000 μB/atom
DFT total energy: -23.831 eV per cell
DFT formation energy: 0.049 eV/atom


Entry 4:
DFT (PBE) results for a geometry-optimized CuSb3S6 structure.

a b c (Å): 8.549 8.549 6.412
angles (deg): 90.00 90.00 103.78
Sites, in units of the cell vectors:
1 Cu 0.205 0.795 0.500
2 Cu 0.795 0.205 0.000
3 Sb 0.103 0.269 0.479
4 Sb 0.269 0.103 0.979
5 Sb 0.374 0.626 0.107
6 Sb 0.626 0.374 0.607
7 Sb 0.731 0.897 0.479
8 Sb 0.897 0.731 0.979
9 S 0.054 0.946 0.336
10 S 0.112 0.555 0.323
11 S 0.217 0.783 0.851
12 S 0.290 0.375 0.785
13 S 0.375 0.290 0.285
14 S 0.445 0.888 0.323
15 S 0.555 0.112 0.823
16 S 0.625 0.710 0.785
17 S 0.710 0.625 0.285
18 S 0.783 0.217 0.351
19 S 0.888 0.445 0.823
20 S 0.946 0.054 0.836

Symmetry: Cmc2_1 (36)
DOS at the Fermi energy: 9.4 states/eV/cell
M_tot: 0.000 μB/atom
DFT total energy: -83.938 eV per cell
ΔE_f (raw): -0.74 eV/f.u.


Entry 5:
DFT (PBE) results for a geometry-optimized GdNbGa2 structure.

a b c (Å): 3.554 3.554 6.269
angles (deg): 90.00 90.00 90.00
Sites, in units of the cell vectors:
1 Gd 0.000 0.000 0.000
2 Nb 0.000 0.000 0.500
3 Ga 0.500 0.500 0.295
4 Ga 0.500 0.500 0.705

Symmetry: P4/mmm (123)
DOS at the Fermi energy: 1.9 states/eV/cell
M_tot: 1.734 μB/atom
DFT total energy: -31.610 eV per cell
DFT formation energy: -0.351 eV/atom


Entry 6:
DFT (PBE) results for a geometry-optimized Y2AlNi structure.

a b c (Å): 6.016 6.016 9.205
angles (deg): 90.00 90.00 148.29
Sites, in units of the cell vectors:
1 Y 0.123 0.877 0.575
2 Y 0.123 0.877 0.925
3 Y 0.877 0.123 0.075
4 Y 0.877 0.123 0.425
5 Al 0.184 0.816 0.250
6 Al 0.816 0.184 0.750
7 Ni 0.472 0.528 0.750
8 Ni 0.528 0.472 0.250

Symmetry: Cmcm (63)
DOS at the Fermi energy: 4.5 states/eV/cell
M_tot: 0.000 μB/atom
DFT total energy: -46.567 eV per cell
DFT formation energy: -0.208 eV/atom


Entry 7:
DFT (PBE) results for a geometry-optimized SmEuSnHg structure.

a b c (Å): 5.458 5.458 5.458
angles (deg): 60.00 60.00 60.00
Sites, in units of the cell vectors:
1 Sm 0.000 0.000 0.000
2 Eu 0.500 0.500 0.500
3 Sn 0.250 0.250 0.250
4 Hg 0.750 0.750 0.750

Symmetry: F-43m (216)
DOS at the Fermi energy: 2.6 states/eV/cell
M_tot: 1.917 μB/atom
DFT total energy: -21.700 eV per cell
DFT formation energy: -0.600 eV/atom


Entry 8:
DFT (PBE) results for a geometry-optimized LaTbTm4 structure.

a b c (Å): 6.583 6.583 6.583
angles (deg): 60.00 60.00 60.00
Sites, in units of the cell vectors:
1 La 0.000 0.000 0.000
2 Tb 0.750 0.750 0.750
3 Tm 0.376 0.376 0.376
4 Tm 0.376 0.376 0.872
5 Tm 0.376 0.872 0.376
6 Tm 0.872 0.376 0.376

Symmetry: F-43m (216)
DOS at the Fermi energy: 13.8 states/eV/cell
M_tot: 0.333 μB/atom
DFT total energy: -25.751 eV per cell
DFT formation energy: 0.282 eV/atom


Entry 9:
DFT (PBE) results for a geometry-optimized LiH4Os structure.

a b c (Å): 4.910 2.861 13.157
angles (deg): 90.00 90.00 90.00
Sites, in units of the cell vectors:
1 Li 0.127 0.250 0.116
2 Li 0.373 0.750 0.616
3 Li 0.627 0.250 0.384
4 Li 0.873 0.750 0.884
5 H 0.081 0.250 0.341
6 H 0.131 0.250 0.661
7 H 0.138 0.250 0.828
8 H 0.196 0.750 0.978
9 H 0.304 0.250 0.478
10 H 0.362 0.750 0.328
11 H 0.369 0.750 0.161
12 H 0.419 0.750 0.841
13 H 0.581 0.250 0.159
14 H 0.631 0.250 0.839
15 H 0.638 0.250 0.672
16 H 0.696 0.750 0.522
17 H 0.804 0.250 0.022
18 H 0.862 0.750 0.172
19 H 0.869 0.750 0.339
20 H 0.919 0.750 0.659
21 Os 0.129 0.750 0.419
22 Os 0.371 0.250 0.919
23 Os 0.629 0.750 0.081
24 Os 0.871 0.250 0.581

Symmetry: Pnma (62)
DOS at the Fermi energy: 4.7 states/eV/cell
M_tot: 0.000 μB/atom
DFT total energy: -106.378 eV per cell


Entry 10:
DFT (PBE) results for a geometry-optimized LaAlSbO6 structure.

a b c (Å): 5.196 5.196 10.418
angles (deg): 90.00 90.00 120.00
Sites, in units of the cell vectors:
1 La 0.000 0.000 0.000
2 La 0.000 0.000 0.500
3 Al 0.333 0.667 0.250
4 Al 0.667 0.333 0.750
5 Sb 0.333 0.667 0.750
6 Sb 0.667 0.333 0.250
7 O 0.011 0.376 0.146
8 O 0.011 0.636 0.354
9 O 0.364 0.376 0.354
10 O 0.364 0.989 0.146
11 O 0.376 0.011 0.646
12 O 0.376 0.364 0.854
13 O 0.624 0.636 0.146
14 O 0.624 0.989 0.354
15 O 0.636 0.011 0.854
16 O 0.636 0.624 0.646
17 O 0.989 0.364 0.646
18 O 0.989 0.624 0.854

Symmetry: P-31c (163)
DOS at the Fermi energy: 12.7 states/eV/cell
M_tot: 0.118 μB/atom
DFT total energy: -126.717 eV per cell
ΔE_f (raw): -20.82 eV/f.u.


Entry 11:
DFT (PBE) results for a geometry-optimized ScAg2As2 structure.

a b c (Å): 7.714 7.714 3.279
angles (deg): 90.00 90.00 90.00
Sites, in units of the cell vectors:
1 Sc 0.000 0.000 0.000
2 Sc 0.500 0.500 0.000
3 Ag 0.123 0.377 0.000
4 Ag 0.377 0.877 0.000
5 Ag 0.623 0.123 0.000
6 Ag 0.877 0.623 0.000
7 As 0.185 0.685 0.500
8 As 0.315 0.185 0.500
9 As 0.685 0.815 0.500
10 As 0.815 0.315 0.500

Symmetry: P4/mbm (127)
DOS at the Fermi energy: 5.6 states/eV/cell
M_tot: 0.000 μB/atom
DFT total energy: -43.662 eV per cell
DFT formation energy: -0.100 eV/atom


Entry 12:
DFT (PBE) results for a geometry-optimized MnBi3As structure.

a b c (Å): 5.546 5.546 5.546
angles (deg): 90.00 90.00 90.00
Sites, in units of the cell vectors:
1 Mn 0.000 0.000 0.000
2 Bi 0.000 0.500 0.500
3 Bi 0.500 0.000 0.500
4 Bi 0.500 0.500 0.000
5 As 0.500 0.500 0.500

Symmetry: Pm-3m (221)
DOS at the Fermi energy: 5.6 states/eV/cell
M_tot: 0.835 μB/atom
DFT total energy: -21.062 eV per cell
DFT formation energy: 0.880 eV/atom


Entry 13:
DFT (PBE) results for a geometry-optimized Cs3ZrHg structure.

a b c (Å): 7.329 7.329 7.329
angles (deg): 90.00 90.00 90.00
Sites, in units of the cell vectors:
1 Cs 0.000 0.000 0.500
2 Cs 0.000 0.500 0.000
3 Cs 0.500 0.000 0.000
4 Zr 0.000 0.000 0.000
5 Hg 0.500 0.500 0.500

Symmetry: Pm-3m (221)
DOS at the Fermi energy: 1.3 states/eV/cell
M_tot: 1.012 μB/atom
DFT total energy: -7.189 eV per cell
DFT formation energy: 0.844 eV/atom


Entry 14:
DFT (PBE) results for a geometry-optimized Sr2BOs structure.

a b c (Å): 7.972 7.972 7.972
angles (deg): 93.65 93.65 150.76
Sites, in units of the cell vectors:
1 Sr 0.375 0.183 0.308
2 Sr 0.817 0.125 0.192
3 Sr 0.875 0.067 0.692
4 Sr 0.933 0.625 0.808
5 B 0.000 0.000 0.000
6 B 0.750 0.250 0.500
7 Os 0.250 0.750 0.500
8 Os 0.500 0.500 0.000

Symmetry: I-42d (122)
DOS at the Fermi energy: 5.6 states/eV/cell
M_tot: 0.000 μB/atom
DFT total energy: -40.666 eV per cell
DFT formation energy: 0.234 eV/atom


Entry 15:
DFT (PBE) results for a geometry-optimized NaLi2NpI8 structure.

a b c (Å): 7.455 7.918 9.510
angles (deg): 70.99 89.02 77.30
Sites, in units of the cell vectors:
1 Na 0.000 0.000 0.000
2 Li 0.461 0.360 0.162
3 Li 0.539 0.640 0.838
4 Np 0.000 0.000 0.500
5 I 0.116 0.236 0.215
6 I 0.137 0.208 0.660
7 I 0.361 0.742 0.548
8 I 0.387 0.733 0.070
9 I 0.613 0.267 0.930
10 I 0.639 0.258 0.452
11 I 0.863 0.792 0.340
12 I 0.884 0.764 0.785

Symmetry: P-1 (2)
DOS at the Fermi energy: 7.5 states/eV/cell
M_tot: 0.165 μB/atom
DFT total energy: -41.167 eV per cell
ΔE_f (raw): -10.68 eV/f.u.


Entry 16:
DFT (PBE) results for a geometry-optimized Li2ScUTe4 structure.

a b c (Å): 7.345 4.234 7.479
angles (deg): 90.00 108.98 90.00
Sites, in units of the cell vectors:
1 Li 0.000 0.000 0.000
2 Li 0.500 0.500 0.000
3 Sc 0.000 0.500 0.500
4 U 0.500 0.000 0.500
5 Te 0.236 0.500 0.243
6 Te 0.238 0.000 0.749
7 Te 0.762 0.000 0.251
8 Te 0.764 0.500 0.757

Symmetry: P2/m (10)
DOS at the Fermi energy: 7.9 states/eV/cell
M_tot: 0.375 μB/atom
DFT total energy: -41.635 eV per cell
ΔE_f (raw): -7.62 eV/f.u.


Entry 17:
DFT (PBE) results for a geometry-optimized HoScCu2 structure.

a b c (Å): 4.751 4.751 4.751
angles (deg): 60.00 60.00 60.00
Sites, in units of the cell vectors:
1 Ho 0.000 0.000 0.000
2 Sc 0.500 0.500 0.500
3 Cu 0.250 0.250 0.250
4 Cu 0.750 0.750 0.750

Symmetry: Fm-3m (225)
DOS at the Fermi energy: 2.6 states/eV/cell
M_tot: 0.000 μB/atom
DFT total energy: -20.104 eV per cell
DFT formation energy: -0.251 eV/atom


Entry 18:
DFT (PBE) results for a geometry-optimized Zr2Nb2Ni structure.

a b c (Å): 6.694 6.694 4.362
angles (deg): 90.00 90.00 90.00
Sites, in units of the cell vectors:
1 Zr 0.168 0.332 0.000
2 Zr 0.332 0.832 0.000
3 Zr 0.668 0.168 0.000
4 Zr 0.832 0.668 0.000
5 Nb 0.144 0.644 0.500
6 Nb 0.356 0.144 0.500
7 Nb 0.644 0.856 0.500
8 Nb 0.856 0.356 0.500
9 Ni 0.000 0.000 0.500
10 Ni 0.500 0.500 0.500

Symmetry: P4/mbm (127)
DOS at the Fermi energy: 7.1 states/eV/cell
M_tot: 0.000 μB/atom
DFT total energy: -84.171 eV per cell
DFT formation energy: 0.186 eV/atom


Entry 19:
DFT (PBE) results for a geometry-optimized Sr2AcSn3Pd4 structure.

a b c (Å): 4.817 4.817 11.260
angles (deg): 90.00 90.00 90.00
Sites, in units of the cell vectors:
1 Sr 0.000 0.500 0.217
2 Sr 0.500 0.000 0.783
3 Ac 0.000 0.000 0.500
4 Sn 0.000 0.500 0.887
5 Sn 0.500 0.000 0.113
6 Sn 0.500 0.500 0.500
7 Pd 0.000 0.000 0.000
8 Pd 0.000 0.500 0.652
9 Pd 0.500 0.000 0.348
10 Pd 0.500 0.500 0.000

Symmetry: P-4m2 (115)
DOS at the Fermi energy: 4.3 states/eV/cell
M_tot: 0.000 μB/atom
DFT total energy: -47.458 eV per cell
DFT formation energy: -0.721 eV/atom


Entry 20:
DFT (PBE) results for a geometry-optimized BeAs2Pd2 structure.

a b c (Å): 6.063 6.063 4.344
angles (deg): 90.00 90.00 90.00
Sites, in units of the cell vectors:
1 Be 0.000 0.000 0.000
2 Be 0.500 0.500 0.000
3 As 0.142 0.358 0.000
4 As 0.358 0.858 0.000
5 As 0.642 0.142 0.000
6 As 0.858 0.642 0.000
7 Pd 0.208 0.708 0.500
8 Pd 0.292 0.208 0.500
9 Pd 0.708 0.792 0.500
10 Pd 0.792 0.292 0.500

Symmetry: P4/mbm (127)
DOS at the Fermi energy: 4.1 states/eV/cell
M_tot: 0.000 μB/atom
DFT total energy: -46.630 eV per cell
DFT formation energy: 0.019 eV/atom


Entry 21:
DFT (PBE) results for a geometry-optimized NaSbCI2 structure.

a b c (Å): 5.823 5.823 6.033
angles (deg): 90.00 90.00 90.00
Sites, in units of the cell vectors:
1 Na 0.000 0.000 0.000
2 Sb 0.000 0.000 0.500
3 C 0.500 0.500 0.500
4 I 0.000 0.500 0.000
5 I 0.500 0.000 0.000

Symmetry: P4/mmm (123)
DOS at the Fermi energy: 7.4 states/eV/cell
M_tot: 0.821 μB/atom
DFT total energy: -9.345 eV per cell
ΔE_f (raw): 8.42 eV/f.u.


Entry 22:
DFT (PBE) results for a geometry-optimized NpTl2S4 structure.

a b c (Å): 8.696 8.696 8.696
angles (deg): 124.91 118.36 87.29
Sites, in units of the cell vectors:
1 Np 0.500 0.000 0.000
2 Np 0.500 0.500 0.500
3 Tl 0.000 0.000 0.000
4 Tl 0.130 0.380 0.750
5 Tl 0.500 0.000 0.500
6 Tl 0.870 0.620 0.250
7 S 0.305 0.309 0.504
8 S 0.305 0.800 0.996
9 S 0.308 0.247 0.061
10 S 0.314 0.753 0.561
11 S 0.686 0.247 0.439
12 S 0.692 0.753 0.939
13 S 0.695 0.200 0.004
14 S 0.695 0.691 0.496

Symmetry: Imma (74)
DOS at the Fermi energy: 10.7 states/eV/cell
M_tot: 0.139 μB/atom
DFT total energy: -77.608 eV per cell
ΔE_f (raw): -4.62 eV/f.u.